## Sn2BiAsC (PBE-GGA)

Data for a relaxed Sn2BiAsC crystal.

Output
- VASP energy: -21.08 eV/f.u.
- Crystal system: tetragonal
- ΔH_f (0 K): 90.37 kJ per mole of atoms
- Spin magnetization: 0.00 μB/f.u.

```
Sn2BiAsC
1.0
5.7763 0.0000 0.0000
0.0000 5.7763 0.0000
0.0000 0.0000 3.8000
Sn Bi As C
2 1 1 1
Cartesian
0.0000 2.8882 0.0000
2.8882 0.0000 0.0000
0.0000 0.0000 1.9000
2.8882 2.8882 0.0000
2.8882 2.8882 1.9000
```